Density functional theory data (GGA-PBE) for an optimized crystal structure of HfMnCdHg2.

a b c (Å): 5.1916 5.1916 5.4864
angles (deg): 90.00 90.00 90.00
With the nearest neighbours (Å) after each atom.
Atoms (fractional coordinates):
Hf 0.0000 0.0000 0.0000  2 Cd 2.74
Mn 0.5000 0.5000 0.0000  4 Hf 3.67, 8 Hg 3.78
Cd 0.0000 0.0000 0.5000  4 Hg 2.60, 2 Hf 2.74
Hg 0.0000 0.5000 0.5000  2 Cd 2.60
Hg 0.5000 0.0000 0.5000  2 Cd 2.60

Properties
As for the space group: No. 123. The value obtained for the formation enthalpy at 0 K is 112.24 kJ/mol of atoms. The total energy is -2.965 eV/atom.


Density functional theory data (GGA-PBE) for an optimized crystal structure of HfCdHg2Mo.

a b c (Å): 5.4196 5.4196 5.5725
angles (deg): 90.00 90.00 90.00
With the nearest neighbours (Å) after each atom.
Atoms (fractional coordinates):
Hf 0.0000 0.0000 0.0000  4 Hg 2.71, 2 Cd 2.79
Cd 0.0000 0.0000 0.5000  2 Hf 2.79
Hg 0.0000 0.5000 0.0000  2 Hf 2.71
Hg 0.5000 0.0000 0.0000  2 Hf 2.71
Mo 0.5000 0.5000 0.5000  4 Cd 3.83, 8 Hg 3.89

Properties
As for the space group: No. 123. The value obtained for the formation enthalpy at 0 K is 144.29 kJ/mol of atoms. The total energy is -2.965 eV/atom.


Density functional theory data (GGA-PBE) for an optimized crystal structure of HfCdHgOs2.

a b c (Å): 4.9683 4.9683 4.7755
angles (deg): 90.00 90.00 90.00
With the nearest neighbours (Å) after each atom.
Atoms (fractional coordinates):
Hf 0.0000 0.0000 0.0000  8 Os 3.45, 4 Cd 3.51
Cd 0.5000 0.5000 0.0000  2 Hg 2.39
Hg 0.5000 0.5000 0.5000  2 Cd 2.39, 4 Os 2.48
Os 0.0000 0.5000 0.5000  2 Hg 2.48
Os 0.5000 0.0000 0.5000  2 Hg 2.48

Properties
As for the space group: No. 123. The value obtained for the formation enthalpy at 0 K is 198.25 kJ/mol of atoms. The total energy is -4.671 eV/atom.


Density functional theory data (GGA-PBE) for an optimized crystal structure of HfCdHg2Pd.

a b c (Å): 5.5638 5.5638 4.9635
angles (deg): 90.00 90.00 90.00
With the nearest neighbours (Å) after each atom.
Atoms (fractional coordinates):
Hf 0.0000 0.0000 0.0000  2 Pd 2.48
Cd 0.5000 0.5000 0.5000  8 Hg 3.73, 4 Pd 3.93
Hg 0.0000 0.5000 0.0000  2 Hf 2.78
Hg 0.5000 0.0000 0.0000  2 Hf 2.78
Pd 0.0000 0.0000 0.5000  2 Hf 2.48

Properties
As for the space group: No. 123. The value obtained for the formation enthalpy at 0 K is 57.44 kJ/mol of atoms. The total energy is -2.738 eV/atom.


Density functional theory data (GGA-PBE) for an optimized crystal structure of HfCdHg2Rh.

a b c (Å): 5.0433 5.0433 4.9906
angles (deg): 90.00 90.00 90.00
With the nearest neighbours (Å) after each atom.
Atoms (fractional coordinates):
Hf 0.0000 0.0000 0.0000  8 Hg 3.55, 4 Rh 3.57
Cd 0.5000 0.5000 0.5000  2 Rh 2.50, 4 Hg 2.52
Hg 0.0000 0.5000 0.5000  2 Cd 2.52
Hg 0.5000 0.0000 0.5000  2 Cd 2.52
Rh 0.5000 0.5000 0.0000  2 Cd 2.50

Properties
As for the space group: No. 123. The value obtained for the formation enthalpy at 0 K is 103.10 kJ/mol of atoms. The total energy is -2.696 eV/atom.


Density functional theory data (GGA-PBE) for an optimized crystal structure of Hf2CdHgRu.

a b c (Å): 5.1499 5.1499 4.9603
angles (deg): 90.00 90.00 90.00
With the nearest neighbours (Å) after each atom.
Atoms (fractional coordinates):
Hf 0.0000 0.5000 0.0000  2 Hg 2.57
Hf 0.5000 0.0000 0.0000  2 Hg 2.57
Cd 0.0000 0.0000 0.5000  8 Hf 3.58, 4 Ru 3.64
Hg 0.5000 0.5000 0.0000  2 Ru 2.48, 4 Hf 2.57
Ru 0.5000 0.5000 0.5000  2 Hg 2.48

Properties
As for the space group: No. 123. The value obtained for the formation enthalpy at 0 K is 129.30 kJ/mol of atoms. The total energy is -4.740 eV/atom.


Density functional theory data (GGA-PBE) for an optimized crystal structure of TbHfCdHg.

a b c (Å): 5.1132 5.1132 5.1132
angles (deg): 60.00 60.00 60.00
With the nearest neighbours (Å) after each atom.
Atoms (fractional coordinates):
Tb 0.0000 0.0000 0.0000  4 Hg 3.13, 4 Cd 3.13
Hf 0.5000 0.5000 0.5000  4 Cd 3.13, 4 Hg 3.13
Cd 0.2500 0.2500 0.2500  4 Hf 3.13, 4 Tb 3.13
Hg 0.7500 0.7500 0.7500  4 Hf 3.13, 4 Tb 3.13

Properties
As for the space group: No. 216. The value obtained for the formation enthalpy at 0 K is -10.19 kJ/mol of atoms. The total energy is -4.056 eV/atom.


Density functional theory data (GGA-PBE) for an optimized crystal structure of HfZr2CdHg.

a b c (Å): 5.3105 5.3105 5.0458
angles (deg): 90.00 90.00 90.00
With the nearest neighbours (Å) after each atom.
Atoms (fractional coordinates):
Hf 0.0000 0.0000 0.0000  8 Zr 3.66, 4 Cd 3.76
Zr 0.0000 0.5000 0.5000  2 Hg 2.66
Zr 0.5000 0.0000 0.5000  2 Hg 2.66
Cd 0.5000 0.5000 0.0000  2 Hg 2.52
Hg 0.5000 0.5000 0.5000  2 Cd 2.52, 4 Zr 2.66

Properties
As for the space group: No. 123. The value obtained for the formation enthalpy at 0 K is 102.67 kJ/mol of atoms. The total energy is -4.589 eV/atom.


Density functional theory data (GGA-PBE) for an optimized crystal structure of HoHfCd.

a b c (Å): 6.9573 6.9573 6.9573
angles (deg): 152.17 152.17 39.77
With the nearest neighbours (Å) after each atom.
Atoms (fractional coordinates):
Ho 0.0000 0.0000 0.0000  4 Hf 3.24, 4 Cd 3.31, 4 Ho 3.35
Hf 0.6692 0.6692 0.0000  4 Cd 3.11, 4 Ho 3.24, 4 Hf 3.35
Cd 0.3235 0.3235 0.0000  4 Hf 3.11, 4 Ho 3.31, 4 Cd 3.35

Properties
As for the space group: No. 107. The value obtained for the formation enthalpy at 0 K is -8.25 kJ/mol of atoms. The energy above the most stable polymorph in this dataset is 0 meV per atom. The total energy is -5.234 eV/atom.


Density functional theory data (GGA-PBE) for an optimized crystal structure of HoHfCd.

a b c (Å): 3.3013 3.2986 13.4598
angles (deg): 90.00 90.05 90.00
With the nearest neighbours (Å) after each atom.
Atoms (fractional coordinates):
Ho 0.2496 0.2500 0.2464  4 Cd 3.29, 4 Ho 3.30, 4 Hf 3.33
Ho 0.7504 0.7500 0.7536  4 Cd 3.29, 4 Ho 3.30, 4 Hf 3.33
Hf 0.2501 0.2500 0.5769  8 Hf 3.12-3.30, 4 Ho 3.33
Hf 0.7499 0.7500 0.4231  8 Hf 3.12-3.30, 4 Ho 3.33
Cd 0.2502 0.2500 0.9256  8 Cd 3.07-3.30, 4 Ho 3.29
Cd 0.7498 0.7500 0.0744  8 Cd 3.07-3.30, 4 Ho 3.29

Properties
As for the space group: No. 11. The value obtained for the formation enthalpy at 0 K is -6.60 kJ/mol of atoms. The energy above the most stable polymorph in this dataset is 17 meV per atom. The total energy is -5.217 eV/atom.


Density functional theory data (GGA-PBE) for an optimized crystal structure of HoHfCd.

a b c (Å): 12.2460 12.2460 12.2460
angles (deg): 162.53 162.53 24.80
With the nearest neighbours (Å) after each atom.
Atoms (fractional coordinates):
Ho 0.1419 0.1419 0.0000  5 Hf 3.24-3.26, 4 Cd 3.30
Ho 0.8581 0.8581 0.0000  5 Hf 3.24-3.26, 4 Cd 3.30
Hf 0.2772 0.2772 0.0000  4 Hf 2.93, 5 Ho 3.24-3.26
Hf 0.7228 0.7228 0.0000  4 Hf 2.93, 5 Ho 3.24-3.26
Cd 0.4412 0.4412 0.0000  1 Cd 2.81
Cd 0.5588 0.5588 0.0000  1 Cd 2.81

Properties
As for the space group: No. 139. The value obtained for the formation enthalpy at 0 K is 6.46 kJ/mol of atoms. The energy above the most stable polymorph in this dataset is 153 meV per atom. The total energy is -5.082 eV/atom.


Density functional theory data (GGA-PBE) for an optimized crystal structure of Ho5HfCd4.

a b c (Å): 3.5289 3.5289 20.8710
angles (deg): 90.00 90.00 90.00
With the nearest neighbours (Å) after each atom.
Atoms (fractional coordinates):
Ho 0.0000 0.0000 0.0000  8 Cd 3.21, 4 Ho 3.53
Ho 0.0000 0.0000 0.1943  8 Cd 3.22-3.23, 4 Ho 3.53
Ho 0.0000 0.0000 0.3956  4 Cd 3.30, 4 Hf 3.31, 4 Ho 3.53
Ho 0.0000 0.0000 0.6044  4 Cd 3.30, 4 Hf 3.31, 4 Ho 3.53
Ho 0.0000 0.0000 0.8057  8 Cd 3.22-3.23, 4 Ho 3.53
Hf 0.5000 0.5000 0.5000  8 Ho 3.31, 4 Hf 3.53
Cd 0.5000 0.5000 0.0965  8 Ho 3.21-3.22, 4 Cd 3.53
Cd 0.5000 0.5000 0.2923  8 Ho 3.23-3.30, 4 Cd 3.53
Cd 0.5000 0.5000 0.7077  8 Ho 3.23-3.30, 4 Cd 3.53
Cd 0.5000 0.5000 0.9035  8 Ho 3.21-3.22, 4 Cd 3.53

Properties
As for the space group: No. 123. The value obtained for the formation enthalpy at 0 K is -20.47 kJ/mol of atoms. The total energy is -3.862 eV/atom.